## CsCoH2 (GGA-PBE)

Data for an optimized crystal structure of CsCoH2.

```
CsCoH2
1.0
5.684 0.000 0.000
0.000 5.684 0.000
2.842 2.842 4.027
Cs H Co
2 4 2
Cartesian
0.000 0.000 0.000 Cs
5.684 2.842 2.013 Cs
7.105 5.689 3.020 H
2.838 4.263 1.007 H
4.263 5.680 3.020 H
2.847 1.421 1.007 H
2.842 5.684 2.013 Co
2.842 2.842 0.000 Co
```

Output
- N(E_F): 2.50 states/eV/atom
- Uncorrected energy: -0.250 Ry per atom
- Total magnetic moment: 4.0 Bohr magnetons per cell


## CsMgCoH6 (GGA-PBE)

Data for an optimized crystal structure of CsMgCoH6.

```
CsMgCoH6
1.0
4.646 0.000 0.000
2.323 4.023 0.000
0.001 -0.001 6.324
H Mg Co Cs
6 1 1 1
Cartesian
1.712 0.298 4.117 H
2.922 2.391 2.206 H
1.725 2.392 4.116 H
3.532 1.334 4.117 H
1.114 1.333 2.206 H
2.935 0.297 2.208 H
4.646 2.682 3.162 Mg
2.323 1.341 3.162 Co
6.969 4.023 6.324 Cs
```

Output
- N(E_F): 0.00 states/eV/atom
- Uncorrected energy: -0.259 Ry per atom
- Total magnetic moment: 0.1 Bohr magnetons per cell


## CsMgCo2H (GGA-PBE)

Data for an optimized crystal structure of CsMgCo2H.

```
CsMgCo2H
1.0
4.317 0.000 0.000
0.000 4.131 0.000
0.000 0.000 4.317
Co Mg H Cs
2 1 1 1
Cartesian
2.159 0.000 0.000 Co
0.000 0.000 2.159 Co
0.000 2.066 0.000 Mg
0.000 0.000 0.000 H
2.159 2.066 2.159 Cs
```

Output
- N(E_F): 1.54 states/eV/atom
- Uncorrected energy: -0.208 Ry per atom
- Total magnetic moment: 1.3 Bohr magnetons per cell


## Cs2NaCoH6 (GGA-PBE)

Data for an optimized crystal structure of Cs2NaCoH6.

```
Cs2NaCoH6
1.0
5.425 0.000 0.000
0.000 6.189 0.000
0.000 -3.095 5.360
H Co Na Cs
6 1 1 2
Cartesian
0.873 1.135 0.655 H
4.552 0.000 1.311 H
4.552 1.960 4.705 H
0.873 5.054 0.655 H
0.873 3.095 4.049 H
4.552 -1.960 4.705 H
0.000 0.000 0.000 Co
2.712 0.000 0.000 Na
4.281 3.095 1.787 Cs
1.144 0.000 3.573 Cs
```

Output
- Uncorrected energy: -0.239 Ry per atom
- Total magnetic moment: 0.1 Bohr magnetons per cell


## CsNaCoH6 (GGA-PBE)

Data for an optimized crystal structure of CsNaCoH6.

```
CsNaCoH6
1.0
-4.574 0.365 -3.066
-1.095 -3.560 -3.789
-2.656 -3.011 3.598
H Na Cs Co
6 1 1 1
Cartesian
-3.949 -2.246 0.619 H
-2.727 -3.626 0.587 H
-3.060 -1.221 -0.610 H
-1.679 -2.431 -0.827 H
-4.493 -3.498 -0.612 H
-3.438 -2.320 -2.033 H
-5.113 -3.601 -2.747 Na
-1.097 -3.535 -3.770 Cs
-3.170 -2.712 -0.570 Co
```

Output
- N(E_F): 0.01 states/eV/atom
- Uncorrected energy: -0.244 Ry per atom
- Total magnetic moment: 1.0 Bohr magnetons per cell